Entry w
{
  "formula": "Nd2YIn6",
  "functional": "PBE-GGA",
  "state": "optimized geometry",
  "volume_a3_per_fu": 264,
  "spacegroup": "No. 71",
  "lattice_angstrom": [[4.688, 0.000, 0.000], [2.344, 8.188, 1.847], [2.344, 3.427, 7.662]],
  "species": ["In", "In", "In", "In", "In", "In", "Nd", "Nd", "Y"],
  "frac_coords": [[0.689, 0.008, 0.614], [0.689, 0.614, 0.008], [0.500, 0.297, 0.703], [0.311, 0.992, 0.386], [0.500, 0.703, 0.297], [0.311, 0.386, 0.992], [0.121, 0.379, 0.379], [0.879, 0.621, 0.621], [0.000, 0.000, 0.000]]
}

***

Entry x
{
  "formula": "Nd2YIn6",
  "functional": "PBE-GGA",
  "state": "optimized geometry",
  "volume_a3_per_fu": 239,
  "spacegroup": "No. 191",
  "lattice_angstrom": [[-2.862, 2.264, 0.448], [0.373, 2.132, -8.383], [-4.882, -6.678, 2.556]],
  "species": ["In", "In", "In", "In", "In", "In", "Nd", "Nd", "Y"],
  "frac_coords": [[0.500, 0.000, 0.332], [0.500, 0.332, 0.332], [0.500, 0.668, 0.668], [0.500, 0.000, 0.668], [0.500, 0.332, 0.000], [0.500, 0.668, 0.000], [0.000, 0.333, 0.667], [0.000, 0.667, 0.333], [0.000, 0.000, 0.000]]
}

***

Decreasing stability: entry x, entry w

***

Entry w
{
  "formula": "Nd3YIn",
  "functional": "PBE-GGA",
  "state": "optimized geometry",
  "volume_a3_per_fu": 165,
  "spacegroup": "No. 59",
  "lattice_angstrom": [[-3.193, 0.029, 4.468], [2.296, -6.949, 1.686], [6.047, 3.042, 4.302]],
  "species": ["Nd", "Nd", "Nd", "Nd", "Nd", "Nd", "In", "In", "Y", "Y"],
  "frac_coords": [[0.750, 0.959, 0.785], [0.250, 0.041, 0.215], [0.750, 0.750, 0.275], [0.250, 0.459, 0.215], [0.250, 0.250, 0.725], [0.750, 0.541, 0.785], [0.250, 0.750, 0.932], [0.750, 0.250, 0.068], [0.250, 0.750, 0.555], [0.750, 0.250, 0.445]]
}

***

Entry x
{
  "formula": "Nd3YIn",
  "functional": "PBE-GGA",
  "state": "optimized geometry",
  "volume_a3_per_fu": 157,
  "spacegroup": "No. 63",
  "lattice_angstrom": [[4.788, 0.000, 1.094], [0.000, 4.919, 0.000], [-0.496, 0.000, 13.193]],
  "species": ["Y", "Y", "Nd", "Nd", "Nd", "Nd", "Nd", "Nd", "In", "In"],
  "frac_coords": [[0.173, 0.250, 0.303], [0.476, 0.750, 0.697], [0.877, 0.750, 0.894], [0.573, 0.250, 0.502], [0.075, 0.750, 0.498], [0.771, 0.250, 0.106], [0.270, 0.750, 0.109], [0.379, 0.250, 0.891], [0.671, 0.750, 0.306], [0.977, 0.250, 0.694]]
}

***

Decreasing stability: entry x, entry w

***

Entry w
{
  "formula": "Nd2Y3In4",
  "functional": "PBE-GGA",
  "state": "optimized geometry",
  "volume_a3_per_fu": 272,
  "spacegroup": "No. 64",
  "lattice_angstrom": [[-5.011, 1.991, 4.659], [4.841, -3.728, 6.800], [6.468, 6.264, -1.169]],
  "species": ["In", "In", "In", "In", "In", "In", "In", "In", "Nd", "Nd", "Nd", "Nd", "Y", "Y", "Y", "Y", "Y", "Y"],
  "frac_coords": [[0.184, 0.960, 0.369], [0.283, 0.250, 0.066], [0.816, 0.040, 0.631], [0.717, 0.750, 0.934], [0.217, 0.750, 0.934], [0.783, 0.250, 0.066], [0.316, 0.460, 0.631], [0.684, 0.540, 0.369], [0.109, 0.577, 0.218], [0.609, 0.923, 0.218], [0.891, 0.423, 0.782], [0.391, 0.077, 0.782], [0.467, 0.250, 0.433], [0.000, 0.000, 0.000], [0.500, 0.500, 0.000], [0.033, 0.750, 0.567], [0.533, 0.750, 0.567], [0.967, 0.250, 0.433]]
}

***

Entry x
{
  "formula": "Nd2Y3In4",
  "functional": "PBE-GGA",
  "state": "optimized geometry",
  "volume_a3_per_fu": 258,
  "spacegroup": "No. 12",
  "lattice_angstrom": [[-3.281, 3.985, 1.378], [-4.035, -0.908, 3.377], [6.239, 2.346, 8.067]],
  "species": ["In", "In", "In", "In", "Y", "Y", "Y", "Nd", "Nd"],
  "frac_coords": [[0.334, 0.333, 0.102], [0.000, 0.000, 0.649], [0.000, 0.000, 0.351], [0.666, 0.667, 0.898], [0.000, 0.000, 0.000], [0.333, 0.333, 0.425], [0.667, 0.667, 0.575], [0.667, 0.666, 0.220], [0.333, 0.334, 0.780]]
}

***

Decreasing stability: entry x, entry w

***

Entry w
{
  "formula": "NdY2In3",
  "functional": "PBE-GGA",
  "state": "optimized geometry",
  "volume_a3_per_fu": 165,
  "spacegroup": "No. 123",
  "lattice_angstrom": [[3.781, 0.000, 0.000], [0.000, 3.781, 0.000], [0.000, 0.000, 11.531]],
  "species": ["In", "In", "In", "Nd", "Y", "Y"],
  "frac_coords": [[0.000, 0.000, 0.000], [0.000, 0.000, 0.676], [0.000, 0.000, 0.324], [0.500, 0.500, 0.500], [0.500, 0.500, 0.838], [0.500, 0.500, 0.162]]
}

***

Entry x
{
  "formula": "NdY2In3",
  "functional": "PBE-GGA",
  "state": "optimized geometry",
  "volume_a3_per_fu": 167,
  "spacegroup": "No. 15",
  "lattice_angstrom": [[6.501, 0.000, 0.000], [0.000, 6.551, -0.091], [-3.250, -1.739, 7.863]],
  "species": ["Nd", "Nd", "Y", "Y", "Y", "Y", "In", "In", "In", "In", "In", "In"],
  "frac_coords": [[0.126, 0.250, 0.000], [0.874, 0.750, 0.000], [0.448, 0.415, 0.661], [0.213, 0.915, 0.661], [0.552, 0.585, 0.339], [0.787, 0.085, 0.339], [0.954, 0.450, 0.663], [0.626, 0.250, 0.000], [0.046, 0.550, 0.337], [0.374, 0.750, 0.000], [0.709, 0.950, 0.663], [0.291, 0.050, 0.337]]
}

***

Decreasing stability: entry w, entry x